1.
Entry from Alexandria: crystalline Li2CuO2 at its relaxed geometry (PBEsol).

Values from the calculation:
- SG = No. 12
- energy above the most stable polymorph in this dataset (meV per atom) = 30.9
- total DFT energy (no corrections) (eV/cell) = -25.53
- formation energy without anion corrections (eV/atom) = -1.353

abc: 2.8176 3.4907 5.2297
angles: 102.15 90.00 113.80
Closest atoms and distances in Å follow each position.
Atoms (fractional coordinates):
1 Cu 0.5000 0.0000 0.0000  4 O 1.96
2 O 0.1060 0.2120 0.2570  4 Li 1.96-1.98, 2 Cu 1.96
3 O 0.8940 0.7880 0.7430  4 Li 1.96-1.98, 2 Cu 1.96
4 Li 0.1724 0.3447 0.6466  4 O 1.96-1.98
5 Li 0.8276 0.6553 0.3534  4 O 1.96-1.98

***

2.
Entry from Alexandria: crystalline Li4CuP6O18 at its relaxed geometry (PBEsol).

Values from the calculation:
- SG = No. 1
- total DFT energy (no corrections) (eV/cell) = -202.56
- formation energy without anion corrections (eV/atom) = -2.108

abc: 7.0029 7.6548 7.5003
angles: 115.35 98.56 108.84
Closest atoms and distances in Å follow each position.
Atoms (fractional coordinates):
1 P 0.9944 0.3292 0.7598  4 O 1.49-1.63
2 P 0.3218 0.6784 0.7673  4 O 1.48-1.63
3 P 0.2009 0.2443 0.4524  4 O 1.49-1.62
4 P 0.7890 0.7432 0.5495  4 O 1.49-1.63
5 P 0.6888 0.3272 0.2147  4 O 1.49-1.62
6 P 0.0120 0.6868 0.2480  4 O 1.48-1.61
7 O 0.1473 0.3170 0.9110  1 P 1.49
8 O 0.5005 0.6818 0.9167  1 P 1.54
9 O 0.1005 0.5714 0.7985  2 P 1.61-1.63
10 O 0.7655 0.2645 0.7434  1 P 1.49
11 O 0.3726 0.2125 0.5594  1 P 1.49
12 O 0.9966 0.1945 0.5264  2 P 1.60-1.61
13 O 0.3434 0.8782 0.7696  1 P 1.48
14 O 0.8780 0.8581 0.7828  1 P 1.49
15 O 0.2821 0.4965 0.5314  2 P 1.62-1.63
16 O 0.7234 0.4886 0.4562  2 P 1.62-1.63
17 O 0.1062 0.1211 0.2151  1 P 1.52
18 O 0.6742 0.1194 0.1920  1 P 1.49
19 O 0.9918 0.8105 0.4734  2 P 1.60-1.62
20 O 0.6122 0.7712 0.4438  1 P 1.49
21 O 0.2419 0.7588 0.2695  1 P 1.48
22 O 0.9166 0.4434 0.1983  2 P 1.61
23 O 0.5141 0.3317 0.0758  1 P 1.50
24 O 0.8575 0.6908 0.0868  1 P 1.52
25 Cu 0.7956 0.9183 0.0734  4 O 1.94-2.00
26 Li 0.2011 0.0861 0.9331  4 O 1.99-2.18
27 Li 0.5952 0.4175 0.8480  4 O 1.95-2.16
28 Li 0.4852 0.9854 0.5429  4 O 2.03-2.10
29 Li 0.3914 0.5736 0.1609  4 O 1.99-2.18

***

The ρ results, record by record, are as follows: 3.97; 2.90 g/cm³.